VASP calculation (PBE) on a relaxed structure of AlZn2Co.

Summary:
E in eV/atom: -3.375
Energy of formation in eV per atom: -0.03
ρ in g/cm3: 6.49
Volume in Å³ per cell: 55.5
Space-group type: R3m (160)

abc: 8.6578 8.6578 8.6578
angles: 18.23 18.23 18.23
With the nearest neighbours (Å) after each atom.
Positions (direct):
1 Co 0.7521 0.7521 0.7521  3 Al 2.43, 3 Zn 2.53
2 Al 0.4911 0.4911 0.4911  3 Co 2.43
3 Zn 0.0080 0.0080 0.0080  3 Co 2.53, 6 Zn 2.74
4 Zn 0.2489 0.2489 0.2489  9 Zn 2.74-2.84, 3 Al 2.81